# 1
# NaNpNi2O8 (PBE with a Hubbard U, relaxed)
data_NaNpNi2O8
_chemical_formula_sum 'Na1 Np1 Ni2 O8'
_cell_length_a 4.8318
_cell_length_b 6.3772
_cell_length_c 4.8413
_cell_angle_alpha 90.00
_cell_angle_beta 91.44
_cell_angle_gamma 90.00
_space_group_name_H-M_alt 'P 1 2/m 1'
_space_group_IT_number 10
_space_group_name_Hall '-P 2y'
loop_
_atom_site_label
_atom_site_type_symbol
_atom_site_fract_x
_atom_site_fract_y
_atom_site_fract_z
Na1 Na 0.0000 0.0000 0.0000
Np1 Np 0.0000 0.5000 0.0000
Ni1 Ni 0.5000 0.2627 0.5000
O1 O 0.1999 0.2819 0.1982
O2 O 0.3142 0.5000 0.6840
O3 O 0.3502 0.0000 0.6477
# - ρ (g/cm³) = 5.627


# 2
# NaNpNi2O5 (PBE with a Hubbard U, relaxed)
data_NaNpNi2O5
_chemical_formula_sum 'Na2 Np2 Ni4 O10'
_cell_length_a 4.6320
_cell_length_b 5.7168
_cell_length_c 9.5512
_cell_angle_alpha 90.00
_cell_angle_beta 90.00
_cell_angle_gamma 90.00
_space_group_name_H-M_alt 'I m m m'
_space_group_IT_number 71
_space_group_name_Hall '-I 2 2'
loop_
_atom_site_label
_atom_site_type_symbol
_atom_site_fract_x
_atom_site_fract_y
_atom_site_fract_z
Na1 Na 0.0000 0.0000 0.0000
Np1 Np 0.0000 0.0000 0.5000
Ni1 Ni 0.0000 0.5000 0.2151
O1 O 0.0000 0.2463 0.3489
O2 O 0.0000 0.5000 0.0000
# - ρ (g/cm³) = 6.006


# 3
# Na2NpNiO4 (PBE with a Hubbard U, relaxed)
data_Na2NpNiO4
_chemical_formula_sum 'Na2 Np1 Ni1 O4'
_cell_length_a 5.6009
_cell_length_b 3.3445
_cell_length_c 5.9486
_cell_angle_alpha 90.00
_cell_angle_beta 111.53
_cell_angle_gamma 90.00
_space_group_name_H-M_alt 'P 1 2/m 1'
_space_group_IT_number 10
_space_group_name_Hall '-P 2y'
loop_
_atom_site_label
_atom_site_type_symbol
_atom_site_fract_x
_atom_site_fract_y
_atom_site_fract_z
Na1 Na 0.0000 0.0000 0.0000
Na2 Na 0.5000 0.5000 0.0000
Np1 Np 0.0000 0.5000 0.5000
Ni1 Ni 0.5000 0.0000 0.5000
O1 O 0.2118 0.0000 0.7368
O2 O 0.2444 0.5000 0.3097
# - ρ (g/cm³) = 6.499


Uncorrected energy (computed, eV per atom): -6.174 -6.497 -6.662
Calculated volume (computed, Å³/cell): 149.1 252.9 103.7